Record 1
This record from OQMD via LeMat-Bulk describes PmTmGa after structural relaxation. The functional is PBE.

Excess energy over the best structure of this formula in the dataset ... 0 meV/atom
Spin magnetization ... 0.0 Bohr magnetons per cell
SG ... F-43m
Crystal system ... cubic

a = 4.987 Å, b = 4.987 Å, c = 4.987 Å
α = 60.00°, β = 60.00°, γ = 60.00°
Element x y z (fractional)
1 Ga 0.000 0.000 0.000
2 Pm 0.250 0.250 0.250
3 Tm 0.750 0.750 0.750

Record 2
This record from OQMD via LeMat-Bulk describes Hf2Nb2O5 after structural relaxation. The functional is PBE.

Excess energy over the best structure of this formula in the dataset ... 443 meV/atom
Spin magnetization ... 0.0 Bohr magnetons per cell
SG ... P4/mmm
Crystal system ... tetragonal

a = 6.667 Å, b = 4.014 Å, c = 4.014 Å
α = 90.00°, β = 90.00°, γ = 90.00°
Element x y z (fractional)
1 Hf 0.000 0.000 0.000
2 Hf 0.500 0.000 0.000
3 Nb 0.195 0.500 0.500
4 Nb 0.805 0.500 0.500
5 O 0.270 0.500 0.000
6 O 0.730 0.500 0.000
7 O 0.270 0.000 0.500
8 O 0.730 0.000 0.500
9 O 0.500 0.500 0.500

Record 3
This record from OQMD via LeMat-Bulk describes LaBeAlNi after structural relaxation. The functional is PBE.

Excess energy over the best structure of this formula in the dataset ... 0 meV/atom
Spin magnetization ... 0.0 Bohr magnetons per cell
SG ... F-43m
Crystal system ... cubic

a = 4.630 Å, b = 4.630 Å, c = 4.630 Å
α = 60.00°, β = 60.00°, γ = 60.00°
Element x y z (fractional)
1 Al 0.250 0.250 0.250
2 Be 0.750 0.750 0.750
3 La 0.000 0.000 0.000
4 Ni 0.500 0.500 0.500

Record 4
This record from OQMD via LeMat-Bulk describes Nd3Cd3Pd2Pt after structural relaxation. The functional is PBE.

Spin magnetization ... 0.0 Bohr magnetons per cell
SG ... P-62m
ΔE_f ... -717.7 meV per atom
Crystal system ... hexagonal

a = 7.702 Å, b = 7.702 Å, c = 4.081 Å
α = 90.00°, β = 90.00°, γ = 120.00°
Element x y z (fractional)
1 Cd 0.747 0.000 0.000
2 Cd 0.253 0.253 0.000
3 Cd 0.000 0.747 0.000
4 Nd 0.403 0.000 0.500
5 Nd 0.000 0.403 0.500
6 Nd 0.597 0.597 0.500
7 Pd 0.667 0.333 0.000
8 Pd 0.333 0.667 0.000
9 Pt 0.000 0.000 0.500